# 1
! TlSbAu4 | Alexandria | GGA-PBE | optimized geometry; values from VASP
! raw formation energy	0.03	eV/atom
! SG	P-1 (2)
! density of states at the Fermi level	3.515	states/eV per cell
! crystal system	triclinic
&SYSTEM
  ibrav = 0, nat = 12, ntyp = 3
/
ATOMIC_SPECIES
Tl 204.38 Tl.upf
Sb 121.76 Sb.upf
Au 196.97 Au.upf
ATOMIC_POSITIONS angstrom
Tl 4.7046 5.8869 -1.1866
Tl -1.4169 -4.4574 8.8600
Sb 1.3038 -2.5982 4.7236
Sb -0.9296 0.3398 3.7605
Au 1.0360 -3.3060 7.5919
Au 3.7220 2.2751 1.2020
Au 2.2517 4.7355 0.0816
Au -0.4342 -0.8456 6.4714
Au -1.4411 -3.4864 6.0620
Au 1.5010 1.0046 2.4432
Au 4.7288 4.9159 1.6114
Au 1.7867 0.4250 5.2302
CELL_PARAMETERS angstrom
5.1469 0.7500 0.1525
0.6801 6.6259 -1.7737
-2.5393 -5.9464 9.2947

---

# 2
! TlSb2Au | Alexandria | GGA-PBE | optimized geometry; values from VASP
! raw formation energy	0.25	eV/atom
! SG	Fm-3m (225)
! density of states at the Fermi level	3.041	states/eV per cell
! crystal system	cubic
&SYSTEM
  ibrav = 0, nat = 4, ntyp = 3
/
ATOMIC_SPECIES
Sb 121.76 Sb.upf
Tl 204.38 Tl.upf
Au 196.97 Au.upf
ATOMIC_POSITIONS angstrom
Sb 1.8544 1.8544 1.8544
Sb 5.5632 5.5632 5.5632
Tl 3.7088 3.7088 3.7088
Au 0.0000 0.0000 0.0000
CELL_PARAMETERS angstrom
0.0000 3.7088 3.7088
3.7088 0.0000 3.7088
3.7088 3.7088 0.0000

---

# 3
! Tl4Sb3Au4 | Alexandria | GGA-PBE | optimized geometry; values from VASP
! raw formation energy	-0.02	eV/atom
! SG	P-1 (2)
! density of states at the Fermi level	4.268	states/eV per cell
! crystal system	triclinic
&SYSTEM
  ibrav = 0, nat = 11, ntyp = 3
/
ATOMIC_SPECIES
Tl 204.38 Tl.upf
Sb 121.76 Sb.upf
Au 196.97 Au.upf
ATOMIC_POSITIONS angstrom
Tl 2.0864 4.2771 3.3589
Tl 4.2661 3.4170 8.9437
Tl 1.6061 1.3793 6.5275
Tl 3.7858 0.5192 12.1123
Sb 4.1704 1.6690 4.7464
Sb 1.7018 3.1274 10.7248
Sb 5.9210 0.0985 14.7312
Au 4.7501 2.0891 2.2031
Au 1.1221 2.7072 13.2681
Au 0.8833 0.9215 9.3837
Au 4.9887 3.8749 6.0875
CELL_PARAMETERS angstrom
5.0369 -0.0378 0.4621
-0.0488 4.6979 0.7401
0.8841 0.1362 14.2690